## AlIn4Ag (PBEsol)

Data for crystalline AlIn4Ag at its relaxed geometry.

Geometry as POSCAR:
```
AlIn4Ag
1.0
-2.4784 -5.3594 -0.4416
2.0421 -3.8880 -3.9716
2.9704 -4.7933 1.8058
Ag Al In
1 1 4
direct
0.7500 0.7500 0.7500 Ag
0.0000 0.0000 0.0000 Al
0.3752 0.3752 0.3752 In
0.3752 0.3752 0.8745 In
0.8745 0.3752 0.3752 In
0.3752 0.8745 0.3752 In
```

Properties
Total energy = -17.12 eV for the cell shown
DFT formation energy = 2.21 eV/f.u.

## Al2InAg2 (PBEsol)

Data for crystalline Al2InAg2 at its relaxed geometry.

Geometry as POSCAR:
```
Al2InAg2
1.0
-0.6854 -1.7397 -2.1002
7.6671 -2.5194 -0.4152
-1.6248 -5.8276 5.3577
Al Ag In
4 4 2
direct
0.5000 0.1271 0.6271 Al
0.5000 0.6271 0.8729 Al
0.5000 0.8729 0.3729 Al
0.5000 0.3729 0.1271 Al
0.0000 0.3312 0.8312 Ag
0.0000 0.8312 0.6688 Ag
0.0000 0.6688 0.1688 Ag
0.0000 0.1688 0.3312 Ag
0.0000 0.0000 0.0000 In
0.0000 0.5000 0.5000 In
```

Properties
Total energy = -35.46 eV for the cell shown
DFT formation energy = 0.06 eV/f.u.

## Al4InAgTe8 (PBEsol)

Data for crystalline Al4InAgTe8 at its relaxed geometry.

Geometry as POSCAR:
```
Al4InAgTe8
1.0
7.3011 -0.0806 -0.0005
-2.1496 6.9779 -0.0005
-0.0218 -0.0292 8.6194
Te Al Ag In
8 4 1 1
direct
0.1152 0.3907 0.0148 Te
0.6292 0.9074 0.5154 Te
0.6093 0.8848 0.9852 Te
0.0926 0.3708 0.4846 Te
0.1617 0.8828 0.7442 Te
0.6486 0.3733 0.2356 Te
0.1172 0.8383 0.2558 Te
0.6267 0.3514 0.7644 Te
0.0122 0.9878 0.5000 Al
0.4881 0.5119 0.0000 Al
0.4880 0.9890 0.2453 Al
0.0110 0.5120 0.7547 Al
0.0032 0.9968 0.0000 Ag
0.4967 0.5033 0.5000 In
```

Properties
Uncorrected formation energy = -0.3374 eV per atom
Total energy = -55.59 eV for the cell shown

## AlAgIr2 (PBEsol)

Data for crystalline AlAgIr2 at its relaxed geometry.

Geometry as POSCAR:
```
AlAgIr2
1.0
-0.9497 2.6104 -0.3484
-4.2726 -1.6758 -0.9094
0.7203 -0.6044 4.7553
Ir Al Ag
2 1 1
direct
0.2712 0.2678 0.5424 Ir
0.7288 0.7322 0.4576 Ir
0.0000 0.5000 0.0000 Al
0.5000 0.0000 0.0000 Ag
```

Properties
Total energy = -27.78 eV for the cell shown
DFT formation energy = -0.73 eV/f.u.

## AlAg4Ir (PBEsol)

Data for crystalline AlAg4Ir at its relaxed geometry.

Geometry as POSCAR:
```
AlAg4Ir
1.0
-2.6183 4.3551 1.1459
-3.9414 1.5445 -3.0357
-4.8997 -0.2895 1.7448
Ag Al Ir
4 1 1
direct
0.3749 0.3749 0.3749 Ag
0.3749 0.3749 0.8754 Ag
0.8754 0.3749 0.3749 Ag
0.3749 0.8754 0.3749 Ag
0.7500 0.7500 0.7500 Al
0.0000 0.0000 0.0000 Ir
```

Properties
Total energy = -24.46 eV for the cell shown
DFT formation energy = 2.70 eV/f.u.

## AlAg2Ir2 (PBEsol)

Data for crystalline AlAg2Ir2 at its relaxed geometry.

Geometry as POSCAR:
```
AlAg2Ir2
1.0
-1.0931 3.3487 -0.2999
-1.2500 -0.6975 -3.2326
-5.0037 -3.0934 4.5356
Ir Al Ag
2 1 2
direct
0.2500 0.7500 0.5000 Ir
0.7500 0.2500 0.5000 Ir
0.0000 0.0000 0.0000 Al
0.4057 0.4057 0.8113 Ag
0.5943 0.5943 0.1887 Ag
```

Properties
Total energy = -27.31 eV for the cell shown
DFT formation energy = 3.05 eV/f.u.